# La4PmNd3, relaxed, DFT PBE
data_La4PmNd3
_chemical_formula_sum 'La8 Pm2 Nd6'
_symmetry_space_group_name_H-M 'P 1'
_symmetry_Int_Tables_number 1
_cell_length_a 10.5411
_cell_length_b 7.3836
_cell_length_c 7.3808
_cell_angle_alpha 90.00
_cell_angle_beta 90.00
_cell_angle_gamma 90.00
loop_
_symmetry_equiv_pos_as_xyz
'x,y,z'
loop_
_atom_site_label
_atom_site_type_symbol
_atom_site_fract_x
_atom_site_fract_y
_atom_site_fract_z
La1 La 0.0000 0.9996 0.0000
La2 La 0.0000 0.4999 0.4992
La3 La 0.2494 0.2494 0.7498
La4 La 0.2506 0.7506 0.2498
La5 La 0.5000 0.0004 0.5000
La6 La 0.5000 0.5001 0.9992
La7 La 0.7494 0.7506 0.2498
La8 La 0.7506 0.2494 0.7498
Pm1 Pm 0.0000 0.9998 0.4994
Pm2 Pm 0.5000 0.0002 0.9994
Nd1 Nd 0.0000 0.5000 0.0000
Nd2 Nd 0.2502 0.2496 0.2498
Nd3 Nd 0.2498 0.7504 0.7498
Nd4 Nd 0.5000 0.5000 0.5000
Nd5 Nd 0.7498 0.2496 0.2498
Nd6 Nd 0.7502 0.7504 0.7498
# VASP energy	-77.30	eV per cell
# space-group type	Pmn2_1, No. 31
# ΔH_f (0 K)	0.11	eV per formula unit
# M_tot	0.000	μB per cell